Record 1
KCrSnTe3 | PBE | relaxed

Cell: 8.322 4.233 12.082 Å, 90.00 105.00 90.00°
Space group P2_1/m (No. 11)
Inequivalent atoms, fractional coordinates:
K 0.045 0.250 0.170 [2 per cell]
Cr 0.454 0.750 0.851 [2 per cell]
Sn 0.378 0.250 0.549 [2 per cell]
Te 0.207 0.750 0.642 [2 per cell]
Te 0.307 0.250 0.942 [2 per cell]
Te 0.384 0.750 0.227 [2 per cell]

Results
- V: 34.26 A^3/atom

Record 2
Pr3TmHg3 | PBE | relaxed

Cell: 8.660 11.915 8.360 Å, 90.00 97.22 90.00°
Space group C2/m (No. 12)
Inequivalent atoms, fractional coordinates:
Pr 0.000 0.175 0.000 [4 per cell]
Pr 0.000 0.242 0.500 [4 per cell]
Pr 0.141 0.500 0.872 [4 per cell]
Tm 0.202 0.500 0.464 [4 per cell]
Hg 0.007 0.000 0.294 [4 per cell]
Hg 0.213 0.333 0.211 [8 per cell]

Results
- V: 30.56 A^3/atom
- Formation energy: -0.276 eV per atom

Energy for the records above, in order: -4.470, -3.093 eV per atom
Magnetization for the records above, in order: 3.0, 0.0 μB/f.u.